An optimized crystal structure of BaSr2AcO4, computed with PBE.

CIF file:
```
data_BaSr2AcO4
_space_group_name_H-M_alt 'P 1 2/m 1'
_space_group_IT_number 10
_cell_length_a 6.537
_cell_length_b 3.784
_cell_length_c 6.555
_cell_angle_alpha 90.00
_cell_angle_beta 109.33
_cell_angle_gamma 90.00
loop_
_space_group_symop_operation_xyz
'x,y,z'
'-x,-y,-z'
'-x,y,-z'
'x,-y,z'
loop_
_atom_site_label
_atom_site_type_symbol
_atom_site_fract_x
_atom_site_fract_y
_atom_site_fract_z
_atom_site_occupancy
Ba1 Ba 0.000 0.000 0.000 1
Sr1 Sr 0.500 0.000 0.500 1
Sr2 Sr 0.500 0.500 0.000 1
Ac1 Ac 0.000 0.500 0.500 1
O1 O 0.253 0.000 0.736 1
O2 O 0.261 0.500 0.272 1
```

Values from the calculation:
Energy relative to the elements, uncorrected (eV per atom): -2.601
Volume (Å³ per atom): 19.12
Total magnetization (μB per formula unit): 0.00